--- A ---
TiHIr2Pt: optimized geometry, GGA-PBE.

Computed properties:
SG: P4/mmm, No. 123

a = 3.977 Å, b = 3.977 Å, c = 3.924 Å
α = 90.00°, β = 90.00°, γ = 90.00°
Sites, in units of the cell vectors:
Pt  0.000  0.000  0.500
Ir  0.500  0.000  0.000
Ir  0.000  0.500  0.000
H  0.000  0.000  0.000
Ti  0.500  0.500  0.500


--- B ---
TiHIr2Pt: optimized geometry, GGA-PBE.

Computed properties:
SG: P4/mmm, No. 123

a = 3.931 Å, b = 3.931 Å, c = 3.978 Å
α = 90.00°, β = 90.00°, γ = 90.00°
Sites, in units of the cell vectors:
Ir  0.500  0.000  0.000
H  0.000  0.000  0.000
Ti  0.000  0.000  0.500
Pt  0.500  0.500  0.500
Ir  0.000  0.500  0.000


Referenced to the most stable arrangement, the calculated values in eV/atom are A 0.045; B 0.000.


--- A ---
Zr2HIrPt: optimized geometry, GGA-PBE.

Computed properties:
SG: P4/mmm, No. 123

a = 4.369 Å, b = 4.369 Å, c = 3.913 Å
α = 90.00°, β = 90.00°, γ = 90.00°
Sites, in units of the cell vectors:
H  0.000  0.000  0.000
Zr  0.000  0.500  0.000
Zr  0.500  0.000  0.000
Pt  0.500  0.500  0.500
Ir  0.000  0.000  0.500


--- B ---
Zr2HIrPt: optimized geometry, GGA-PBE.

Computed properties:
SG: P4/mmm, No. 123

a = 4.342 Å, b = 4.342 Å, c = 3.952 Å
α = 90.00°, β = 90.00°, γ = 90.00°
Sites, in units of the cell vectors:
Ir  0.500  0.500  0.500
Zr  0.500  0.000  0.000
H  0.000  0.000  0.000
Pt  0.000  0.000  0.500
Zr  0.000  0.500  0.000


Referenced to the most stable arrangement, the calculated values in eV/atom are A 0.000; B 0.026.


--- A ---
PuH4Ir: optimized geometry, GGA-PBE.

Computed properties:
SG: Cmcm, No. 63

a = 3.863 Å, b = 4.957 Å, c = 6.343 Å
α = 90.00°, β = 107.68°, γ = 90.00°
Site moments in Bohr magnetons follow the coordinates.
Sites, in units of the cell vectors:
H  0.000  0.000  0.000  -0.01
Ir  0.104  0.750  0.208  0.13
Pu  0.630  0.250  0.260  5.32
Ir  0.896  0.250  0.792  0.13
H  0.000  0.500  0.000  -0.01
H  0.802  0.995  0.604  -0.01
H  0.198  0.495  0.396  -0.01
H  0.802  0.505  0.604  -0.01
H  0.401  0.250  0.802  -0.01
Pu  0.370  0.750  0.740  5.32
H  0.599  0.750  0.198  -0.01
H  0.198  0.005  0.396  -0.01


--- B ---
PuH4Ir: optimized geometry, GGA-PBE.

Computed properties:
SG: C2/c, No. 15

a = 4.427 Å, b = 4.495 Å, c = 7.146 Å
α = 105.29°, β = 90.00°, γ = 119.50°
Site moments in Bohr magnetons follow the coordinates.
Sites, in units of the cell vectors:
Pu  0.214  0.000  0.250  5.04
H  0.274  0.414  0.609  -0.01
H  0.728  0.052  0.414  -0.01
H  0.726  0.586  0.391  -0.01
Pu  0.786  0.000  0.750  5.04
Ir  0.500  0.500  0.000  -0.14
H  0.324  0.052  0.914  -0.01
H  0.861  0.586  0.891  -0.01
Ir  0.000  0.500  0.500  -0.14
H  0.272  0.948  0.586  -0.01
H  0.139  0.414  0.109  -0.01
H  0.676  0.948  0.086  -0.01


Referenced to the most stable arrangement, the calculated values in eV/atom are A 0.015; B 0.000.


--- A ---
RbH2Ir: optimized geometry, GGA-PBE.

Computed properties:
SG: I-42d, No. 122

a = 5.660 Å, b = 5.660 Å, c = 5.635 Å
α = 59.86°, β = 59.86°, γ = 90.00°
Sites, in units of the cell vectors:
Rb  0.500  0.500  0.000
H  0.375  0.169  0.750
H  0.875  0.081  0.750
Rb  0.250  0.750  0.500
Ir  0.750  0.250  0.500
H  0.919  0.625  0.250
H  0.831  0.125  0.250
Ir  0.000  0.000  0.000


--- B ---
RbH2Ir: optimized geometry, GGA-PBE.

Computed properties:
SG: Fm-3m, No. 225

a = 4.343 Å, b = 4.343 Å, c = 4.343 Å
α = 60.00°, β = 60.00°, γ = 60.00°
Sites, in units of the cell vectors:
H  0.750  0.750  0.750
Rb  0.000  0.000  0.000
H  0.250  0.250  0.250
Ir  0.500  0.500  0.500


Referenced to the most stable arrangement, the calculated values in eV/atom are A 0.000; B 1.283.


--- A ---
RbH3Ir: optimized geometry, GGA-PBE.

Computed properties:
SG: Pm-3m, No. 221

a = 4.261 Å, b = 4.261 Å, c = 4.261 Å
α = 90.00°, β = 90.00°, γ = 90.00°
Site moments in Bohr magnetons follow the coordinates.
Sites, in units of the cell vectors:
H  0.000  0.000  0.500  0.06
H  0.000  0.500  0.000  0.04
Rb  0.000  0.000  0.000  0.01
Ir  0.500  0.500  0.500  1.73
H  0.500  0.000  0.000  0.01


--- B ---
RbH3Ir: optimized geometry, GGA-PBE.

Computed properties:
SG: Pm-3m, No. 221

a = 3.834 Å, b = 3.834 Å, c = 3.834 Å
α = 90.00°, β = 90.00°, γ = 90.00°
Sites, in units of the cell vectors:
Rb  0.500  0.500  0.500
H  0.000  0.500  0.000
H  0.500  0.000  0.000
Ir  0.000  0.000  0.000
H  0.000  0.000  0.500


Referenced to the most stable arrangement, the calculated values in eV/atom are A 1.987; B 0.000.


--- A ---
ReHIr3: optimized geometry, GGA-PBE.

Computed properties:
SG: Pm-3m, No. 221

a = 4.749 Å, b = 4.749 Å, c = 4.749 Å
α = 90.00°, β = 90.00°, γ = 90.00°
Site moments in Bohr magnetons follow the coordinates.
Sites, in units of the cell vectors:
Ir  0.500  0.000  0.000  0.03
Ir  0.000  0.500  0.000  0.05
Re  0.000  0.000  0.000  0.05
Ir  0.000  0.000  0.500  0.06
H  0.500  0.500  0.500  0.32


--- B ---
ReHIr3: optimized geometry, GGA-PBE.

Computed properties:
SG: Pm-3m, No. 221

a = 3.935 Å, b = 3.935 Å, c = 3.935 Å
α = 90.00°, β = 90.00°, γ = 90.00°
Sites, in units of the cell vectors:
Re  0.500  0.500  0.500
Ir  0.500  0.000  0.000
Ir  0.000  0.000  0.500
Ir  0.000  0.500  0.000
H  0.000  0.000  0.000


Referenced to the most stable arrangement, the calculated values in eV/atom are A 2.096; B 0.000.


--- A ---
Re3HIr: optimized geometry, GGA-PBE.

Computed properties:
SG: Pm-3m, No. 221

a = 3.941 Å, b = 3.941 Å, c = 3.941 Å
α = 90.00°, β = 90.00°, γ = 90.00°
Sites, in units of the cell vectors:
Ir  0.500  0.500  0.500
Re  0.500  0.000  0.000
H  0.000  0.000  0.000
Re  0.000  0.500  0.000
Re  0.000  0.000  0.500


--- B ---
Re3HIr: optimized geometry, GGA-PBE.

Computed properties:
SG: Pm-3m, No. 221

a = 4.758 Å, b = 4.758 Å, c = 4.758 Å
α = 90.00°, β = 90.00°, γ = 90.00°
Site moments in Bohr magnetons follow the coordinates.
Sites, in units of the cell vectors:
Re  0.000  0.000  0.500  1.00
Re  0.000  0.500  0.000  0.97
Ir  0.000  0.000  0.000  -0.03
H  0.500  0.500  0.500  0.20
Re  0.500  0.000  0.000  0.84


Referenced to the most stable arrangement, the calculated values in eV/atom are A 0.000; B 2.867.


--- A ---
ReHIr2: optimized geometry, GGA-PBE.

Computed properties:
SG: Fm-3m, No. 225

a = 4.206 Å, b = 4.206 Å, c = 4.206 Å
α = 60.00°, β = 60.00°, γ = 60.00°
Sites, in units of the cell vectors:
Ir  0.250  0.250  0.250
Re  0.500  0.500  0.500
H  0.000  0.000  0.000
Ir  0.750  0.750  0.750


--- B ---
ReHIr2: optimized geometry, GGA-PBE.

Computed properties:
SG: I-42d, No. 122

a = 6.160 Å, b = 6.160 Å, c = 5.052 Å
α = 52.44°, β = 52.44°, γ = 90.00°
Sites, in units of the cell vectors:
Ir  0.224  0.625  0.250
Re  0.750  0.250  0.500
H  0.500  0.500  0.000
H  0.250  0.750  0.500
Ir  0.526  0.125  0.250
Ir  0.375  0.474  0.750
Re  0.000  0.000  0.000
Ir  0.875  0.776  0.750


Referenced to the most stable arrangement, the calculated values in eV/atom are A 0.400; B 0.000.